Here is NpH2CO6 after structural relaxation from Alexandria via LeMat-Bulk. Energies are from PBE.

Unit cell a=5.5381 b=5.2831 c=10.4934 alpha=90.00 beta=107.22 gamma=90.00
With the nearest neighbours (Å) after each atom.
Positions (direct):
Np: 0.0000 0.0000 0.0000  2 O 1.83
Np: 0.0000 0.5000 0.5000  2 O 1.83
H: 0.1939 0.2326 0.7286  1 O 1.00
H: 0.1939 0.2674 0.2286  1 O 1.00
H: 0.8061 0.7326 0.7714  1 O 1.00
H: 0.8061 0.7674 0.2714  1 O 1.00
C: 0.5000 0.0000 0.5000  2 O 1.17
C: 0.5000 0.5000 0.0000  2 O 1.17
O: 0.1025 0.1592 0.8705  1 H 1.75, 1 Np 1.83
O: 0.1025 0.3408 0.3705  1 H 1.75, 1 Np 1.83
O: 0.2277 0.2432 0.1414  1 H 1.00
O: 0.2277 0.2568 0.6414  1 H 1.00
O: 0.3655 0.6725 0.9976  1 C 1.17
O: 0.3655 0.8275 0.4976  1 C 1.17
O: 0.6345 0.1725 0.5024  1 C 1.17
O: 0.6345 0.3275 0.0024  1 C 1.17
O: 0.7723 0.7432 0.3586  1 H 1.00
O: 0.7723 0.7568 0.8586  1 H 1.00
O: 0.8975 0.6592 0.6295  1 H 1.75, 1 Np 1.83
O: 0.8975 0.8408 0.1295  1 H 1.75, 1 Np 1.83

Output
**Electronic total energy**: -150.01 eV for the cell shown
**Volume**: 14.7 A^3/atom
**SG**: No. 14

---

Here is CaMnAg2Au after structural relaxation from Alexandria via LeMat-Bulk. Energies are from PBE.

Unit cell a=5.3376 b=5.3376 c=5.2866 alpha=90.00 beta=90.00 gamma=90.00
With the nearest neighbours (Å) after each atom.
Positions (direct):
Ca: 0.0000 0.0000 0.0000  2 Au 2.64, 4 Ag 2.67
Mn: 0.5000 0.5000 0.5000  8 Ag 3.76, 4 Au 3.77
Ag: 0.0000 0.5000 0.0000  2 Ca 2.67
Ag: 0.5000 0.0000 0.0000  2 Ca 2.67
Au: 0.0000 0.0000 0.5000  2 Ca 2.64

Output
**Formation energy**: 0.99 eV/atom
**Volume**: 30.1 A^3/atom
**SG**: No. 123

---

Here is Li3Cd8 after structural relaxation from Alexandria via LeMat-Bulk. Energies are from PBE.

Unit cell a=11.1916 b=11.1916 c=11.1916 alpha=25.08 beta=25.08 gamma=25.08
With the nearest neighbours (Å) after each atom.
Positions (direct):
Li: 0.0000 0.0000 0.0000  8 Cd 2.97
Li: 0.4537 0.4537 0.4537  7 Cd 2.94-2.98, 1 Li 3.01
Li: 0.5463 0.5463 0.5463  7 Cd 2.94-2.98, 1 Li 3.01
Cd: 0.0914 0.0914 0.0914  4 Cd 2.93-2.98, 4 Li 2.96-2.97
Cd: 0.1816 0.1816 0.1816  5 Cd 2.93-2.97, 3 Li 2.98
Cd: 0.2725 0.2725 0.2725  8 Cd 2.95-2.98
Cd: 0.3632 0.3632 0.3632  4 Li 2.94-2.97, 4 Cd 2.95-2.98
Cd: 0.6368 0.6368 0.6368  4 Li 2.94-2.97, 4 Cd 2.95-2.98
Cd: 0.7275 0.7275 0.7275  8 Cd 2.95-2.98
Cd: 0.8184 0.8184 0.8184  5 Cd 2.93-2.97, 3 Li 2.98
Cd: 0.9086 0.9086 0.9086  4 Cd 2.93-2.98, 4 Li 2.96-2.97

Output
**Formation energy**: -0.17 eV/atom
**Volume**: 20.1 A^3/atom
**SG**: No. 166

---

Here is LiTb3Al12 after structural relaxation from Alexandria via LeMat-Bulk. Energies are from PBE.

Unit cell a=4.2311 b=4.2311 c=16.6801 alpha=90.00 beta=90.00 gamma=90.00
With the nearest neighbours (Å) after each atom.
Positions (direct):
Li: 0.0000 0.0000 0.0000  12 Al 2.80-2.99
Tb: 0.0000 0.0000 0.2417  12 Al 2.99-3.05
Tb: 0.0000 0.0000 0.5000  12 Al 2.99-3.02
Tb: 0.0000 0.0000 0.7583  12 Al 2.99-3.05
Al: 0.0000 0.5000 0.1103  2 Li 2.80, 8 Al 2.80-3.11, 2 Tb 3.05
Al: 0.0000 0.5000 0.3706  8 Al 2.96-3.02, 4 Tb 3.02
Al: 0.0000 0.5000 0.6294  8 Al 2.96-3.02, 4 Tb 3.02
Al: 0.0000 0.5000 0.8897  2 Li 2.80, 8 Al 2.80-3.11, 2 Tb 3.05
Al: 0.5000 0.0000 0.1103  2 Li 2.80, 8 Al 2.80-3.11, 2 Tb 3.05
Al: 0.5000 0.0000 0.3706  8 Al 2.96-3.02, 4 Tb 3.02
Al: 0.5000 0.0000 0.6294  8 Al 2.96-3.02, 4 Tb 3.02
Al: 0.5000 0.0000 0.8897  2 Li 2.80, 8 Al 2.80-3.11, 2 Tb 3.05
Al: 0.5000 0.5000 0.0000  8 Al 2.80, 4 Li 2.99
Al: 0.5000 0.5000 0.2466  8 Al 2.96-3.11, 4 Tb 2.99
Al: 0.5000 0.5000 0.5000  4 Tb 2.99, 8 Al 3.02
Al: 0.5000 0.5000 0.7534  8 Al 2.96-3.11, 4 Tb 2.99

Output
**Formation energy**: -0.33 eV/atom
**Volume**: 18.7 A^3/atom
**SG**: No. 123